Entry 1:
PBE LaSm2Sc, optimized geometry; calculated total energy = -20.016 eV per cell; M_tot = 0.290 μB/atom; DOS at the Fermi energy = 2.56 states/eV/atom
1.0
-1.162 -2.114 5.146
1.295 -5.400 1.212
4.228 -1.166 3.614
Sc Sm La
1 2 1
direct
0.500 0.500 0.500
0.250 0.250 0.250
0.750 0.750 0.750
0.000 0.000 0.000

Entry 2:
PBE KTl2SbPd, optimized geometry; M_tot = 0.000 μB/atom; DOS at the Fermi energy = 0.78 states/eV/atom; ΔE_f (raw) = -0.125 eV/atom
1.0
-2.239 -1.288 -4.796
3.134 -4.447 -0.269
-3.855 -2.872 2.572
Sb Tl K Pd
1 2 1 1
direct
0.000 0.000 0.500
0.000 0.500 0.000
0.500 0.000 0.000
0.500 0.500 0.500
0.000 0.000 0.000

Entry 3:
PBE Li2La2Ni, optimized geometry; calculated total energy = -37.297 eV per cell; M_tot = 0.000 μB/atom; DOS at the Fermi energy = 1.09 states/eV/atom
1.0
-6.480 1.333 -1.156
-1.491 -1.779 6.302
0.708 4.751 1.509
Ni Li La
2 4 4
direct
0.000 0.000 0.000
0.500 0.500 0.000
0.360 0.860 0.000
0.860 0.640 0.000
0.640 0.140 0.000
0.140 0.360 0.000
0.183 0.683 0.500
0.683 0.817 0.500
0.817 0.317 0.500
0.317 0.183 0.500

Entry 4:
PBE NbSbAsSe2, optimized geometry; M_tot = 0.064 μB/atom; DOS at the Fermi energy = 0.99 states/eV/atom; ΔE_f (raw) = 0.168 eV/atom
1.0
-2.669 3.082 -2.805
2.508 -1.472 -4.004
-3.544 -3.814 -0.818
Sb Nb As Se
1 1 1 2
direct
0.500 0.500 0.500
0.000 0.000 0.000
0.000 0.000 0.500
0.000 0.500 0.000
0.500 0.000 0.000

Entry 5:
PBE KTcRu3, optimized geometry; calculated total energy = -23.409 eV per cell; M_tot = 0.000 μB/atom; DOS at the Fermi energy = 3.05 states/eV/atom
1.0
4.450 0.000 0.000
0.000 4.450 0.000
0.000 0.000 4.450
Ru K Tc
3 1 1
direct
0.000 0.500 0.000
0.000 0.000 0.500
0.500 0.000 0.000
0.000 0.000 0.000
0.500 0.500 0.500

Entry 6:
PBE BeTc2Cl, optimized geometry; M_tot = 0.001 μB/atom; DOS at the Fermi energy = 1.16 states/eV/atom; ΔE_f (raw) = 0.715 eV/atom
1.0
2.773 0.000 0.000
0.000 4.730 0.000
0.000 0.000 4.290
Be Tc Cl
1 2 1
direct
0.500 0.000 0.500
0.000 0.000 0.000
0.500 0.500 0.000
0.000 0.500 0.500